## SrB3Ir (PBE-GGA)

Data for a geometry-optimized SrB3Ir structure.

a b c (Å): 4.175 4.175 4.175
angles (deg): 90.00 90.00 90.00
Element x y z (fractional)
Ir (0.000, 0.000, 0.000)
B (0.000, 0.000, 0.500)
Sr (0.500, 0.500, 0.500)
B (0.000, 0.500, 0.000)
B (0.500, 0.000, 0.000)

- formation energy from the elements (eV per atom) = 0.371
- magnetic moment (μB/cell) = 0.00
- polymorph energy (0 for the lowest one) (meV/atom) = 0
- DOS(E_F) (states/eV/cell) = 4.0
- space group = Pm-3m
- theoretical density (g/cm³) = 7.13